Entry 1:
VASP calculation (GGA-PBEsol) on an optimized crystal structure of Ta2InP.

Output
Crystal system: monoclinic
Symmetry: No. 12
ΔH_f (0 K) in meV per atom: 153

```
data_Ta2InP
_chemical_formula_sum 'Ta4 In2 P2'
_cell_length_a 5.830
_cell_length_b 8.313
_cell_length_c 2.977
_cell_angle_alpha 90.00
_cell_angle_beta 107.91
_cell_angle_gamma 90.00
_symmetry_space_group_name_H-M 'P 1'
_symmetry_Int_Tables_number 1
loop_
_symmetry_equiv_pos_as_xyz
'x,y,z'
loop_
_atom_site_label
_atom_site_type_symbol
_atom_site_fract_x
_atom_site_fract_y
_atom_site_fract_z
Ta1 Ta 0.250 0.250 0.000
Ta2 Ta 0.250 0.750 0.000
Ta3 Ta 0.750 0.250 0.000
Ta4 Ta 0.750 0.750 0.000
In1 In 0.000 0.000 0.500
In2 In 0.500 0.500 0.500
P1 P 0.000 0.500 0.500
P2 P 0.500 0.000 0.500
```

---

Entry 2:
VASP calculation (GGA-PBEsol) on an optimized crystal structure of LiInTe.

Output
Formation energy (no corrections) in eV per atom: -0.321
Crystal system: cubic
Symmetry: No. 216

```
data_LiInTe
_chemical_formula_sum 'Li4 In4 Te4'
_cell_length_a 7.291
_cell_length_b 7.291
_cell_length_c 7.291
_cell_angle_alpha 90.00
_cell_angle_beta 90.00
_cell_angle_gamma 90.00
_symmetry_space_group_name_H-M 'P 1'
_symmetry_Int_Tables_number 1
loop_
_symmetry_equiv_pos_as_xyz
'x,y,z'
loop_
_atom_site_label
_atom_site_type_symbol
_atom_site_fract_x
_atom_site_fract_y
_atom_site_fract_z
Li1 Li 0.000 0.000 0.000
Li2 Li 0.000 0.500 0.500
Li3 Li 0.500 0.000 0.500
Li4 Li 0.500 0.500 0.000
In1 In 0.000 0.000 0.500
In2 In 0.000 0.500 0.000
In3 In 0.500 0.000 0.000
In4 In 0.500 0.500 0.500
Te1 Te 0.250 0.250 0.750
Te2 Te 0.250 0.750 0.250
Te3 Te 0.750 0.250 0.250
Te4 Te 0.750 0.750 0.750
```

---

Total energy readings, ordered: -8.3165, -3.1461 eV per atom
Offset from the most stable computed form readings, ordered: 286, 0 meV per atom